[1]
MgZn2RhF after structural relaxation, computed with PBE.

The space group is P4/mmm (No. 123) and the conventional cell measures 4.432, 4.432 and 3.755 Å, with angles of 90.00, 90.00 and 90.00 degrees. Symmetry generates all atoms from Mg at (0.000, 0.000, 0.000), Zn at (0.000, 0.500, 0.500), Rh at (0.500, 0.500, 0.000) and F at (0.000, 0.000, 0.500).

As for the magnetization: 0.000 Bohr magnetons per cell. For the density of states at the Fermi level, the calculation gives 0.288 states/eV/atom. The value obtained for the formation energy without anion corrections is -0.6433 eV/atom. As for the crystal system: tetragonal.


[2]
MgRuF3 after structural relaxation, computed with PBE.

The space group is Pm-3m (No. 221) and the conventional cell measures 4.000, 4.000 and 4.000 Å, with angles of 90.00, 90.00 and 90.00 degrees. Symmetry generates all atoms from Mg at (0.000, 0.000, 0.000), Ru at (0.500, 0.500, 0.500) and F at (0.000, 0.000, 0.500).

As for the magnetization: 3.108 Bohr magnetons per cell. For the density of states at the Fermi level, the calculation gives 0.319 states/eV/atom. The relative energy among the computed polymorphs comes out at 0.000 eV per atom. The value obtained for the formation energy without anion corrections is -1.7237 eV/atom. As for the crystal system: cubic.


[3]
MgRu3F after structural relaxation, computed with PBE.

The space group is Pm-3m (No. 221) and the conventional cell measures 4.212, 4.212 and 4.212 Å, with angles of 90.00, 90.00 and 90.00 degrees. Symmetry generates all atoms from Mg at (0.000, 0.000, 0.000), Ru at (0.000, 0.500, 0.500) and F at (0.500, 0.500, 0.500).

As for the magnetization: 0.000 Bohr magnetons per cell. For the density of states at the Fermi level, the calculation gives 1.281 states/eV/atom. The relative energy among the computed polymorphs comes out at 0.000 eV per atom. The value obtained for the formation energy without anion corrections is 0.7820 eV/atom. As for the crystal system: cubic.


[4]
MgRuF2 after structural relaxation, computed with PBE.

The space group is R-3m (No. 166, hexagonal axes) and the conventional cell measures 2.8573, 2.8573 and 26.7954 Å, with angles of 90.00, 90.00 and 120.00 degrees. Symmetry generates all atoms from Mg at (0.0000, 0.0000, 0.0000), Ru at (0.0000, 0.0000, 0.5000) and F at (0.0000, 0.0000, 0.3720).

As for the magnetization: 6.645 Bohr magnetons per cell. For the density of states at the Fermi level, the calculation gives 0.360 states/eV/atom. The relative energy among the computed polymorphs comes out at 0.000 eV per atom. The value obtained for the formation energy without anion corrections is -1.8025 eV/atom. As for the crystal system: trigonal.


[5]
MgRuF6 after structural relaxation, computed with PBE.

The space group is P-31c (No. 163) and the conventional cell measures 5.0440, 5.0440 and 9.3709 Å, with angles of 90.00, 90.00 and 120.00 degrees. Symmetry generates all atoms from Mg at (0.3333, 0.6667, 0.2500), Ru at (0.0000, 0.0000, 0.0000) and F at (0.0302, 0.3281, 0.1219).

As for the magnetization: 4.000 Bohr magnetons per cell. For the density of states at the Fermi level, the calculation gives 0.944 states/eV/atom. The value obtained for the formation energy without anion corrections is -2.3775 eV/atom. As for the crystal system: trigonal.


[6]
MgRu3F after structural relaxation, computed with PBE.

The space group is Pm-3m (No. 221) and the conventional cell measures 4.703, 4.703 and 4.703 Å, with angles of 90.00, 90.00 and 90.00 degrees. Symmetry generates all atoms from Mg at (0.000, 0.000, 0.000), Ru at (0.000, 0.000, 0.500) and F at (0.500, 0.500, 0.500).

As for the magnetization: 7.128 Bohr magnetons per cell. For the density of states at the Fermi level, the calculation gives 1.552 states/eV/atom. The relative energy among the computed polymorphs comes out at 1.133 eV per atom. The value obtained for the formation energy without anion corrections is 1.9147 eV/atom. As for the crystal system: cubic.